[1]
VASP calculation (PBE) on a relaxed structure of Te2Ru3.

magnetic moment = 0.0 Bohr magnetons per cell
ΔE_f (raw) = 0.235 eV per atom

Unit cell a=4.3048 b=4.3048 c=5.7484 alpha=90.00 beta=90.00 gamma=120.00
Space group P-3m1 (No. 164)
Symmetry-distinct sites (fractional):
Te 0.3333 0.6667 0.2823 x2
Ru 0.0000 0.0000 0.5000 x1
Ru 0.3333 0.6667 0.8308 x2

[2]
VASP calculation (PBE) on a relaxed structure of LiBr2N.

energy relative to the lowest polymorph listed for this composition = 0.00 kJ/mol of atoms
magnetic moment = 2.0 Bohr magnetons per cell
ΔE_f (raw) = 0.085 eV per atom

Unit cell a=4.293 b=7.075 c=8.520 alpha=105.70 beta=101.39 gamma=94.83
Space group P-1 (No. 2)
Symmetry-distinct sites (fractional):
Li 0.180 0.438 0.352 x2
Br 0.090 0.179 0.931 x2
Br 0.287 0.366 0.634 x2
N 0.067 0.196 0.137 x2

| no. | energy (Ry per atom) |
| --- | --- |
| 1 | -0.4842 |
| 2 | -0.2434 |